No. 1
# ZnNiRh2 (GGA-PBEsol, optimized geometry)
# DOS(E_F): 3.4 states/eV/cell
# SG: I-4m2 (119)
data_ZnNiRh2
_chemical_formula_sum 'Zn1 Ni1 Rh2'
_space_group_name_H-M_alt 'P 1'
_space_group_IT_number 1
_cell_length_a 3.677
_cell_length_b 3.677
_cell_length_c 4.550
_cell_angle_alpha 113.83
_cell_angle_beta 113.83
_cell_angle_gamma 90.00
loop_
_space_group_symop_operation_xyz
'x,y,z'
loop_
_atom_site_label
_atom_site_fract_x
_atom_site_fract_y
_atom_site_fract_z
Ni1 0.250 0.750 0.500
Zn1 0.500 0.500 0.000
Rh1 0.000 0.000 0.000
Rh2 0.750 0.250 0.500

No. 2
# ZnNiRh2 (GGA-PBEsol, optimized geometry)
# DOS(E_F): 3.7 states/eV/cell
# SG: P4/mmm (123)
data_ZnNiRh2
_chemical_formula_sum 'Zn1 Ni1 Rh2'
_space_group_name_H-M_alt 'P 1'
_space_group_IT_number 1
_cell_length_a 3.146
_cell_length_b 4.000
_cell_length_c 4.000
_cell_angle_alpha 90.04
_cell_angle_beta 90.00
_cell_angle_gamma 90.00
loop_
_space_group_symop_operation_xyz
'x,y,z'
loop_
_atom_site_label
_atom_site_fract_x
_atom_site_fract_y
_atom_site_fract_z
Ni1 0.500 0.500 0.500
Zn1 0.500 0.000 0.000
Rh1 0.000 0.500 0.000
Rh2 0.000 0.000 0.500

No. 3
# Zn2NiRh (GGA-PBEsol, optimized geometry)
# DOS(E_F): 1.5 states/eV/cell
# SG: P4/mmm (123)
data_Zn2NiRh
_chemical_formula_sum 'Zn2 Ni1 Rh1'
_space_group_name_H-M_alt 'P 1'
_space_group_IT_number 1
_cell_length_a 3.007
_cell_length_b 4.063
_cell_length_c 4.063
_cell_angle_alpha 90.00
_cell_angle_beta 90.00
_cell_angle_gamma 90.00
loop_
_space_group_symop_operation_xyz
'x,y,z'
loop_
_atom_site_label
_atom_site_fract_x
_atom_site_fract_y
_atom_site_fract_z
Ni1 0.500 0.500 0.500
Zn1 0.000 0.000 0.500
Zn2 0.000 0.500 0.000
Rh1 0.500 0.000 0.000

No. 4
# Zn2NiRh (GGA-PBEsol, optimized geometry)
# DOS(E_F): 3.9 states/eV/cell
# SG: F-43m (216)
data_Zn2NiRh
_chemical_formula_sum 'Zn2 Ni1 Rh1'
_space_group_name_H-M_alt 'P 1'
_space_group_IT_number 1
_cell_length_a 4.140
_cell_length_b 4.140
_cell_length_c 4.140
_cell_angle_alpha 60.00
_cell_angle_beta 60.00
_cell_angle_gamma 60.00
loop_
_space_group_symop_operation_xyz
'x,y,z'
loop_
_atom_site_label
_atom_site_fract_x
_atom_site_fract_y
_atom_site_fract_z
Ni1 0.500 0.500 0.500
Rh1 0.250 0.250 0.250
Zn1 0.000 0.000 0.000
Zn2 0.750 0.750 0.750

No. 5
# ZnNiRh2 (GGA-PBEsol, optimized geometry)
# DOS(E_F): 5.3 states/eV/cell
# SG: P4/mmm (123)
data_ZnNiRh2
_chemical_formula_sum 'Zn1 Ni1 Rh2'
_space_group_name_H-M_alt 'P 1'
_space_group_IT_number 1
_cell_length_a 2.932
_cell_length_b 2.931
_cell_length_c 5.926
_cell_angle_alpha 90.00
_cell_angle_beta 90.00
_cell_angle_gamma 90.00
loop_
_space_group_symop_operation_xyz
'x,y,z'
loop_
_atom_site_label
_atom_site_fract_x
_atom_site_fract_y
_atom_site_fract_z
Ni1 0.500 0.500 0.500
Zn1 0.500 0.500 0.000
Rh1 0.000 0.000 0.741
Rh2 0.000 0.000 0.259

No. 6
# ZnNiRh2 (GGA-PBEsol, optimized geometry)
# DOS(E_F): 4.5 states/eV/cell
# SG: Cm (8)
data_ZnNiRh2
_chemical_formula_sum 'Zn1 Ni1 Rh2'
_space_group_name_H-M_alt 'P 1'
_space_group_IT_number 1
_cell_length_a 2.682
_cell_length_b 4.437
_cell_length_c 4.542
_cell_angle_alpha 100.63
_cell_angle_beta 107.17
_cell_angle_gamma 90.00
loop_
_space_group_symop_operation_xyz
'x,y,z'
loop_
_atom_site_label
_atom_site_fract_x
_atom_site_fract_y
_atom_site_fract_z
Ni1 0.749 0.254 0.498
Zn1 0.497 0.488 0.995
Rh1 0.002 0.997 0.003
Rh2 0.252 0.761 0.504

Number 1: total magnetic moment 0.00 μB per formula unit, energy of formation -0.133 eV/atom. Number 2: total magnetic moment 0.00 μB per formula unit, energy of formation -0.113 eV/atom. Number 3: total magnetic moment 0.00 μB per formula unit, energy of formation -0.340 eV/atom. Number 4: total magnetic moment 0.00 μB per formula unit, energy of formation -0.163 eV/atom. Number 5: total magnetic moment 1.99 μB per formula unit, energy of formation -0.081 eV/atom. Number 6: total magnetic moment 0.01 μB per formula unit, energy of formation -0.121 eV/atom.